{"formula": "TmAgHg", "functional": "PBE", "state": "optimized geometry", "m_tot_mub_per_fu": 0.000, "vol_a3_per_atom": 25.35, "e_form_ev_per_atom": -0.163, "space_group": "F-43m, No. 216", "lattice": [[-2.0398, 1.2834, -4.0994], [-0.8747, -3.2648, -3.3450], [-4.4761, -1.3024, -0.9385]], "species": ["Tm", "Ag", "Hg"], "fractional_positions": [[0.0000, 0.0000, 0.0000], [0.2500, 0.2500, 0.2500], [0.5000, 0.5000, 0.5000]]}